Record 1
TbSmTa | PBE-GGA | optimized geometry

a b c (Å): 5.0270 5.0270 5.0270
angles (deg): 60.00 60.00 60.00
Closest atoms and distances in Å follow each position.
Fractional coordinates of all 3 atoms:
Tb 0.0000 0.0000 0.0000  4 Sm 3.08
Sm 0.7500 0.7500 0.7500  4 Tb 3.08, 4 Ta 3.08
Ta 0.5000 0.5000 0.5000  4 Sm 3.08

Properties
Crystal system: cubic
Formation energy, eV/atom: 1.32


Record 2
YMoAs | PBE-GGA | optimized geometry

a b c (Å): 4.4974 4.4974 4.4974
angles (deg): 60.00 60.00 60.00
Closest atoms and distances in Å follow each position.
Fractional coordinates of all 3 atoms:
Y 0.0000 0.0000 0.0000  4 As 2.75
Mo 0.5000 0.5000 0.5000  4 As 2.75
As 0.7500 0.7500 0.7500  4 Mo 2.75, 4 Y 2.75

Properties
Crystal system: cubic


Record 3
TbHo2N3 | PBE-GGA | optimized geometry

a b c (Å): 3.4526 3.4526 8.4515
angles (deg): 90.00 90.00 120.00
Closest atoms and distances in Å follow each position.
Fractional coordinates of all 6 atoms:
Tb 0.0000 0.0000 0.0000  6 N 2.45
Ho 0.3333 0.6667 0.3346  6 N 2.43
Ho 0.6667 0.3333 0.6654  6 N 2.43
N 0.0000 0.0000 0.5000  6 Ho 2.43
N 0.3333 0.6667 0.8306  3 Ho 2.43, 3 Tb 2.45
N 0.6667 0.3333 0.1694  3 Ho 2.43, 3 Tb 2.45

Properties
Crystal system: trigonal


Record 4
TbPtW | PBE-GGA | optimized geometry

a b c (Å): 4.5699 4.5699 4.5699
angles (deg): 60.00 60.00 60.00
Closest atoms and distances in Å follow each position.
Fractional coordinates of all 3 atoms:
Tb 0.0000 0.0000 0.0000  4 Pt 2.80
Pt 0.2500 0.2500 0.2500  4 W 2.80, 4 Tb 2.80
W 0.5000 0.5000 0.5000  4 Pt 2.80

Properties
Crystal system: cubic
Energy relative to the lowest polymorph listed for this composition, kJ/mol of atoms: 0.00
Formation energy, eV/atom: 0.31


Record 5
Nd3Y3Te2Ir | PBE-GGA | optimized geometry

a b c (Å): 8.5738 8.5738 3.9788
angles (deg): 90.00 90.00 120.00
Closest atoms and distances in Å follow each position.
Fractional coordinates of all 9 atoms:
Nd 0.0000 0.7536 0.0000  2 Ir 2.90
Nd 0.2464 0.2464 0.0000  2 Ir 2.90
Nd 0.7536 0.0000 0.0000  2 Ir 2.90
Y 0.0000 0.4023 0.5000  4 Te 3.28, 1 Ir 3.45, 6 Nd 3.61
Y 0.4023 0.0000 0.5000  4 Te 3.28, 1 Ir 3.45, 6 Nd 3.61
Y 0.5977 0.5977 0.5000  4 Te 3.28, 1 Ir 3.45, 6 Nd 3.61
Te 0.3333 0.6667 0.0000  6 Y 3.28, 3 Nd 3.29
Te 0.6667 0.3333 0.0000  6 Y 3.28, 3 Nd 3.29
Ir 0.0000 0.0000 0.5000  6 Nd 2.90

Properties
Crystal system: hexagonal
Energy relative to the lowest polymorph listed for this composition, kJ/mol of atoms: 10.18


Record 6
TbGd2In3Pd3 | PBE-GGA | optimized geometry

a b c (Å): 3.8937 7.7049 7.7049
angles (deg): 119.95 90.00 90.00
Closest atoms and distances in Å follow each position.
Fractional coordinates of all 9 atoms:
Tb 0.0000 0.0000 0.0000  5 Pd 3.03-3.15, 6 In 3.22-3.37
Gd 0.0000 0.4085 0.8171  5 Pd 3.04-3.15, 6 In 3.23-3.38
Gd 0.0000 0.8171 0.4085  5 Pd 3.04-3.15, 6 In 3.23-3.38
In 0.5000 0.1506 0.4081  4 Pd 2.78-2.91
In 0.5000 0.4081 0.1506  4 Pd 2.78-2.91
In 0.5000 0.6666 0.6666  4 Pd 2.79-2.90
Pd 0.0000 0.4082 0.4082  6 In 2.78-2.79
Pd 0.5000 0.0749 0.7425  3 In 2.90-2.91, 2 Tb 3.03, 4 Gd 3.04
Pd 0.5000 0.7425 0.0749  3 In 2.90-2.91, 2 Tb 3.03, 4 Gd 3.04

Properties
Crystal system: orthorhombic


Record 7
CdIn2Pb2 | PBE-GGA | optimized geometry

a b c (Å): 8.1674 8.1674 8.1674
angles (deg): 148.00 148.00 45.89
Closest atoms and distances in Å follow each position.
Fractional coordinates of all 5 atoms:
Cd 0.0000 0.0000 0.0000  8 Pb 3.54
In 0.2500 0.7500 0.5000  4 Pb 3.15, 4 In 3.18
In 0.7500 0.2500 0.5000  4 Pb 3.15, 4 In 3.18
Pb 0.3966 0.3966 0.0000  1 Pb 3.11, 4 In 3.15
Pb 0.6034 0.6034 0.0000  1 Pb 3.11, 4 In 3.15

Properties
Crystal system: tetragonal
Energy relative to the lowest polymorph listed for this composition, kJ/mol of atoms: 0.00


Record 8
ZnW | PBE-GGA | optimized geometry

a b c (Å): 4.5215 7.2800 7.2800
angles (deg): 140.65 90.00 90.00
Closest atoms and distances in Å follow each position.
Fractional coordinates of all 10 atoms:
Zn 0.0000 0.0000 0.0000  8 Zn 2.71-2.85, 4 W 2.75-2.77
Zn 0.0000 0.4210 0.6115  5 Zn 2.61-2.85, 6 W 2.77-2.81
Zn 0.0000 0.6115 0.4210  5 Zn 2.61-2.85, 6 W 2.77-2.81
Zn 0.5000 0.7324 0.9226  5 Zn 2.61-2.74, 7 W 2.74-2.88
Zn 0.5000 0.9226 0.7324  5 Zn 2.61-2.74, 7 W 2.74-2.88
W 0.0000 0.2367 0.8335  6 W 2.71-2.81, 6 Zn 2.77-2.93
W 0.0000 0.8335 0.2367  6 W 2.71-2.81, 6 Zn 2.77-2.93
W 0.5000 0.1399 0.5381  7 W 2.71-2.82, 5 Zn 2.79-2.88
W 0.5000 0.3181 0.3181  2 W 2.73, 10 Zn 2.74-2.82
W 0.5000 0.5381 0.1399  7 W 2.71-2.82, 5 Zn 2.79-2.88

Properties
Crystal system: orthorhombic
Energy relative to the lowest polymorph listed for this composition, kJ/mol of atoms: 8.27
Formation energy, eV/atom: 0.31


Record 9
BaPrAl4Ni2 | PBE-GGA | optimized geometry

a b c (Å): 7.1086 6.1109 6.1109
angles (deg): 39.09 90.00 90.00
Closest atoms and distances in Å follow each position.
Fractional coordinates of all 8 atoms:
Ba 0.0000 0.0000 0.0000  3 Ni 3.08-3.37, 4 Al 3.42
Pr 0.5000 0.9081 0.9081  3 Ni 3.07-3.38, 6 Al 3.34-3.39
Al 0.1970 0.2753 0.2753  3 Ni 2.45-2.53, 2 Al 2.73
Al 0.3166 0.6362 0.6362  3 Ni 2.47-2.51, 3 Al 2.61-2.73
Al 0.6834 0.6362 0.6362  3 Ni 2.47-2.51, 3 Al 2.61-2.73
Al 0.8030 0.2753 0.2753  3 Ni 2.45-2.53, 2 Al 2.73
Ni 0.0000 0.7328 0.7328  6 Al 2.51-2.53
Ni 0.5000 0.1747 0.1747  6 Al 2.45-2.47

Properties
Crystal system: orthorhombic


Record 10
Dy3Ni7B2 | PBE-GGA | optimized geometry

a b c (Å): 5.0903 5.0903 14.3336
angles (deg): 90.00 90.00 120.00
Closest atoms and distances in Å follow each position.
Fractional coordinates of all 24 atoms:
Dy 0.3333 0.6667 0.0317  12 Ni 2.97-3.05, 4 Dy 3.08-3.13
Dy 0.3333 0.6667 0.2500  12 Ni 2.92, 6 B 2.94, 2 Dy 3.13
Dy 0.3333 0.6667 0.4683  12 Ni 2.97-3.05, 4 Dy 3.08-3.13
Dy 0.6667 0.3333 0.5317  12 Ni 2.97-3.05, 4 Dy 3.08-3.13
Dy 0.6667 0.3333 0.7500  12 Ni 2.92, 6 B 2.94, 2 Dy 3.13
Dy 0.6667 0.3333 0.9683  12 Ni 2.97-3.05, 4 Dy 3.08-3.13
Ni 0.0000 0.0000 0.0000  6 Ni 2.59
Ni 0.0000 0.0000 0.5000  6 Ni 2.59
Ni 0.1655 0.3311 0.6495  2 B 2.05-2.06
Ni 0.1655 0.3311 0.8505  2 B 2.05-2.06
Ni 0.1655 0.8345 0.6495  2 B 2.05-2.06
Ni 0.1655 0.8345 0.8505  2 B 2.05-2.06
Ni 0.3311 0.1655 0.1495  2 B 2.05-2.06
Ni 0.3311 0.1655 0.3505  2 B 2.05-2.06
Ni 0.6689 0.8345 0.6495  2 B 2.05-2.06
Ni 0.6689 0.8345 0.8505  2 B 2.05-2.06
Ni 0.8345 0.1655 0.1495  2 B 2.05-2.06
Ni 0.8345 0.1655 0.3505  2 B 2.05-2.06
Ni 0.8345 0.6689 0.1495  2 B 2.05-2.06
Ni 0.8345 0.6689 0.3505  2 B 2.05-2.06
B 0.0000 0.0000 0.2500  6 Ni 2.05
B 0.0000 0.0000 0.7500  6 Ni 2.05
B 0.3333 0.6667 0.7500  6 Ni 2.06
B 0.6667 0.3333 0.2500  6 Ni 2.06

Properties
Crystal system: hexagonal


Record 11
La2Co2Cl | PBE-GGA | optimized geometry

a b c (Å): 3.9781 3.9781 8.3785
angles (deg): 90.00 90.00 120.00
Closest atoms and distances in Å follow each position.
Fractional coordinates of all 5 atoms:
La 0.0000 0.0000 0.2258  6 Co 2.98, 3 Cl 3.25
La 0.0000 0.0000 0.7742  6 Co 2.98, 3 Cl 3.25
Co 0.3333 0.6667 0.0000  3 Co 2.30
Co 0.6667 0.3333 0.0000  3 Co 2.30
Cl 0.6667 0.3333 0.5000  6 La 3.25

Properties
Crystal system: hexagonal


Record 12
HoUB | PBE-GGA | optimized geometry

a b c (Å): 4.3916 4.3916 4.3916
angles (deg): 60.00 60.00 60.00
Closest atoms and distances in Å follow each position.
Fractional coordinates of all 3 atoms:
Ho 0.0000 0.0000 0.0000  4 B 2.69
U 0.5000 0.5000 0.5000  4 B 2.69
B 0.2500 0.2500 0.2500  4 Ho 2.69, 4 U 2.69

Properties
Crystal system: cubic
Energy relative to the lowest polymorph listed for this composition, kJ/mol of atoms: 0.00


Number 1: calculated total energy -17.2 eV/cell. Number 2: calculated total energy -22.3 eV/cell. Number 3: calculated total energy -49.1 eV/cell. Number 4: calculated total energy -22.7 eV/cell. Number 5: calculated total energy -55.9 eV/cell. Number 6: calculated total energy -45.1 eV/cell. Number 7: calculated total energy -13.0 eV/cell. Number 8: calculated total energy -68.0 eV/cell. Number 9: calculated total energy -36.3 eV/cell. Number 10: calculated total energy -144.5 eV/cell. Number 11: calculated total energy -30.0 eV/cell. Number 12: calculated total energy -21.1 eV/cell.